[1]
The following is a DFT calculation (meta-GGA SCAN) of HfBr3F at its PBEsol-relaxed geometry.

Cell lengths 4.7557, 4.7557, 4.7557 Å; angles 90.00, 90.00, 90.00 degrees
Space group Pm-3m (No. 221)
Inequivalent atoms, fractional coordinates:
1 Hf 0.0000 0.0000 0.0000 [1 per cell]
2 Br 0.0000 0.5000 0.5000 [3 per cell]
3 F 0.5000 0.5000 0.5000 [1 per cell]

Properties
- N(E_F): 0.856 states/eV/atom
- Calculated density: 6.7 g/cm³
- Calculated total energy: -24.553 eV/atom



[2]
The following is a DFT calculation (meta-GGA SCAN) of Sb2MoSeCl at its PBEsol-relaxed geometry.

Cell lengths 5.2419, 5.2419, 4.4756 Å; angles 90.00, 90.00, 90.00 degrees
Space group P4/mmm (No. 123)
Inequivalent atoms, fractional coordinates:
1 Sb 0.0000 0.5000 0.0000 [2 per cell]
2 Mo 0.0000 0.0000 0.0000 [1 per cell]
3 Se 0.5000 0.5000 0.5000 [1 per cell]
4 Cl 0.0000 0.0000 0.5000 [1 per cell]

Properties
- N(E_F): 0.481 states/eV/atom
- Calculated density: 6.1 g/cm³
- Calculated total energy: -27.267 eV/atom



- Which formula does entry 1 have?
  HfBr3F



What did the second record say?
The following is a DFT calculation (meta-GGA SCAN) of Sb2MoSeCl at its PBEsol-relaxed geometry.

Cell lengths 5.2419, 5.2419, 4.4756 Å; angles 90.00, 90.00, 90.00 degrees
Space group P4/mmm (No. 123)
Inequivalent atoms, fractional coordinates:
1 Sb 0.0000 0.5000 0.0000 [2 per cell]
2 Mo 0.0000 0.0000 0.0000 [1 per cell]
3 Se 0.5000 0.5000 0.5000 [1 per cell]
4 Cl 0.0000 0.0000 0.5000 [1 per cell]

Properties
- N(E_F): 0.481 states/eV/atom
- Calculated density: 6.1 g/cm³
- Calculated total energy: -27.267 eV/atom